1.
This record from the Alexandria database describes a relaxed structure of Dy4BSe2Cl. The functional is GGA-PBE.

Summary:
VASP energy   -5.58 eV/atom
Fermi-level density of states   2.7 states/eV/cell
ΔE_f (raw)   -1.3466 eV per atom
Total moment   0.00 μB/f.u.
Space group   P2/m

a b c (Å): 6.9410 3.9366 6.9559
angles (deg): 90.00 108.72 90.00
Positions (direct):
Dy 0.2167 0.0000 0.2144
Dy 0.2315 0.5000 0.7775
Dy 0.7685 0.5000 0.2225
Dy 0.7833 0.0000 0.7856
B 0.0000 0.5000 0.0000
Se 0.5000 0.0000 0.0000
Se 0.5000 0.5000 0.5000
Cl 0.0000 0.0000 0.5000

2.
This record from the Alexandria database describes a relaxed structure of Er4BCl5. The functional is GGA-PBE.

Summary:
VASP energy   -5.07 eV/atom
Fermi-level density of states   4.1 states/eV/cell
ΔE_f (raw)   -1.6499 eV per atom
Total moment   0.00 μB/f.u.
Space group   C2/m

a b c (Å): 8.7504 8.7504 7.7830
angles (deg): 102.95 102.95 24.95
Positions (direct):
Er 0.0007 0.0007 0.2844
Er 0.3534 0.3534 0.4190
Er 0.6466 0.6466 0.5810
Er 0.9993 0.9993 0.7156
B 0.5000 0.5000 0.5000
Cl 0.1653 0.1653 0.8335
Cl 0.1723 0.1723 0.3435
Cl 0.5000 0.5000 0.0000
Cl 0.8277 0.8277 0.6565
Cl 0.8347 0.8347 0.1665

3.
This record from the Alexandria database describes a relaxed structure of Er3BCl3. The functional is GGA-PBE.

Summary:
VASP energy   -5.20 eV/atom
Fermi-level density of states   8.8 states/eV/cell
ΔE_f (raw)   -1.4993 eV per atom
Total moment   0.00 μB/f.u.
Space group   I4_132

a b c (Å): 9.3592 9.3592 9.3592
angles (deg): 109.47 109.47 109.47
Positions (direct):
Er 0.0164 0.0328 0.2664
Er 0.0164 0.4836 0.7500
Er 0.0328 0.2664 0.0164
Er 0.2336 0.2664 0.7500
Er 0.2336 0.4672 0.4836
Er 0.2664 0.0164 0.0328
Er 0.2664 0.7500 0.2336
Er 0.4672 0.4836 0.2336
Er 0.4836 0.2336 0.4672
Er 0.4836 0.7500 0.0164
Er 0.7500 0.0164 0.4836
Er 0.7500 0.2336 0.2664
B 0.0000 0.2500 0.5000
B 0.2500 0.2500 0.2500
B 0.2500 0.5000 0.0000
B 0.5000 0.0000 0.2500
Cl 0.2500 0.7552 0.7448
Cl 0.2500 0.9948 0.5052
Cl 0.5052 0.2500 0.9948
Cl 0.5052 0.7552 0.5104
Cl 0.5104 0.5052 0.7552
Cl 0.7448 0.2500 0.7552
Cl 0.7448 0.9948 0.9896
Cl 0.7552 0.5104 0.5052
Cl 0.7552 0.7448 0.2500
Cl 0.9896 0.7448 0.9948
Cl 0.9948 0.5052 0.2500
Cl 0.9948 0.9896 0.7448

4.
This record from the Alexandria database describes a relaxed structure of Er7BCl12. The functional is GGA-PBE.

Summary:
VASP energy   -4.92 eV/atom
Fermi-level density of states   10.8 states/eV/cell
ΔE_f (raw)   -1.8792 eV per atom
Total moment   0.00 μB/f.u.
Space group   R-3

a b c (Å): 8.5470 8.5470 8.5470
angles (deg): 107.59 107.59 107.59
Positions (direct):
Er 0.0000 0.0000 0.0000
Er 0.1831 0.4680 0.3913
Er 0.3913 0.1831 0.4680
Er 0.4680 0.3913 0.1831
Er 0.5320 0.6087 0.8169
Er 0.6087 0.8169 0.5320
Er 0.8169 0.5320 0.6087
B 0.5000 0.5000 0.5000
Cl 0.0304 0.1129 0.3402
Cl 0.1129 0.3402 0.0304
Cl 0.1869 0.5772 0.7238
Cl 0.2762 0.8131 0.4228
Cl 0.3402 0.0304 0.1129
Cl 0.4228 0.2762 0.8131
Cl 0.5772 0.7238 0.1869
Cl 0.6598 0.9696 0.8871
Cl 0.7238 0.1869 0.5772
Cl 0.8131 0.4228 0.2762
Cl 0.8871 0.6598 0.9696
Cl 0.9696 0.8871 0.6598

5.
This record from the Alexandria database describes a relaxed structure of Er2BCl. The functional is GGA-PBE.

Summary:
VASP energy   -5.33 eV/atom
Fermi-level density of states   2.4 states/eV/cell
ΔE_f (raw)   -0.9160 eV per atom
Total moment   0.00 μB/f.u.
Space group   R-3m

a b c (Å): 7.0397 7.0397 7.0397
angles (deg): 31.33 31.33 31.33
Positions (direct):
Er 0.2316 0.2316 0.2316
Er 0.7684 0.7684 0.7684
B 0.5000 0.5000 0.5000
Cl 0.0000 0.0000 0.0000

6.
This record from the Alexandria database describes a relaxed structure of ErB2Cl8. The functional is GGA-PBE.

Summary:
VASP energy   -4.08 eV/atom
Fermi-level density of states   0.6 states/eV/cell
ΔE_f (raw)   -1.1128 eV per atom
Total moment   1.02 μB/f.u.
Space group   C2/m

a b c (Å): 7.7537 7.7537 5.9091
angles (deg): 97.29 97.29 75.94
Positions (direct):
Er 0.0000 0.0000 0.0000
B 0.1963 0.1963 0.6526
B 0.8037 0.8037 0.3474
Cl 0.0384 0.7250 0.2556
Cl 0.1852 0.1852 0.3211
Cl 0.2750 0.9616 0.7444
Cl 0.3402 0.3402 0.7741
Cl 0.6598 0.6598 0.2259
Cl 0.7250 0.0384 0.2556
Cl 0.8148 0.8148 0.6789
Cl 0.9616 0.2750 0.7444

7.
This record from the Alexandria database describes a relaxed structure of Er4B2Cl5. The functional is GGA-PBE.

Summary:
VASP energy   -5.15 eV/atom
Fermi-level density of states   2.9 states/eV/cell
ΔE_f (raw)   -1.4415 eV per atom
Total moment   0.00 μB/f.u.
Space group   Immm

a b c (Å): 10.7079 10.7079 10.7079
angles (deg): 159.87 138.82 46.25
Positions (direct):
Er 0.1555 0.1555 0.0000
Er 0.2093 0.5000 0.7093
Er 0.7907 0.5000 0.2907
Er 0.8445 0.8445 0.0000
B 0.0401 0.0401 0.0000
B 0.9599 0.9599 0.0000
Cl 0.0833 0.3325 0.7508
Cl 0.4183 0.6675 0.7508
Cl 0.5000 0.0000 0.5000
Cl 0.5817 0.3325 0.2492
Cl 0.9167 0.6675 0.2492

8.
This record from the Alexandria database describes a relaxed structure of Eu2B5ClO9. The functional is GGA-PBE.

Summary:
VASP energy   -8.53 eV/atom
ΔE_f (raw)   -2.6211 eV per atom
Total moment   14.00 μB/f.u.
Space group   Pnn2

a b c (Å): 11.4285 11.5132 6.5635
angles (deg): 90.00 90.00 90.00
Positions (direct):
Eu 0.0447 0.2470 0.0000
Eu 0.2413 0.4718 0.3360
Eu 0.2587 0.9718 0.8360
Eu 0.4553 0.7470 0.5000
Eu 0.5447 0.2530 0.5000
Eu 0.7413 0.0282 0.8360
Eu 0.7587 0.5282 0.3360
Eu 0.9553 0.7530 0.0000
B 0.0048 0.7506 0.4682
B 0.1765 0.7253 0.6948
B 0.2052 0.8107 0.3423
B 0.2170 0.2045 0.5248
B 0.2374 0.0340 0.3027
B 0.2626 0.5340 0.8027
B 0.2830 0.7045 0.0248
B 0.2948 0.3107 0.8423
B 0.3235 0.2253 0.1948
B 0.4952 0.2506 0.9682
B 0.5048 0.7494 0.9682
B 0.6765 0.7747 0.1948
B 0.7052 0.6893 0.8423
B 0.7170 0.2955 0.0248
B 0.7374 0.4660 0.8027
B 0.7626 0.9660 0.3027
B 0.7830 0.7955 0.5248
B 0.7948 0.1893 0.3423
B 0.8235 0.2747 0.6948
B 0.9952 0.2494 0.4682
Cl 0.0000 0.0000 0.9004
Cl 0.0000 0.5000 0.1503
Cl 0.5000 0.0000 0.6503
Cl 0.5000 0.5000 0.4004
O 0.0480 0.7194 0.6548
O 0.0772 0.7884 0.3143
O 0.1122 0.2603 0.4231
O 0.1838 0.7546 0.9117
O 0.2109 0.0746 0.4933
O 0.2234 0.2188 0.7450
O 0.2303 0.6106 0.6485
O 0.2333 0.8137 0.5632
O 0.2352 0.9209 0.2417
O 0.2648 0.4209 0.7417
O 0.2667 0.3137 0.0632
O 0.2697 0.1106 0.1485
O 0.2766 0.7188 0.2450
O 0.2891 0.5746 0.9933
O 0.3162 0.2546 0.4117
O 0.3878 0.7603 0.9231
O 0.4228 0.2884 0.8143
O 0.4520 0.2194 0.1548
O 0.5480 0.7806 0.1548
O 0.5772 0.7116 0.8143
O 0.6122 0.2397 0.9231
O 0.6838 0.7454 0.4117
O 0.7109 0.4254 0.9933
O 0.7234 0.2812 0.2450
O 0.7303 0.8894 0.1485
O 0.7333 0.6863 0.0632
O 0.7352 0.5791 0.7417
O 0.7648 0.0791 0.2417
O 0.7667 0.1863 0.5632
O 0.7697 0.3894 0.6485
O 0.7766 0.7812 0.7450
O 0.7891 0.9254 0.4933
O 0.8162 0.2454 0.9117
O 0.8878 0.7397 0.4231
O 0.9228 0.2116 0.3143
O 0.9520 0.2806 0.6548